Here is an optimized crystal structure of Pr3Er2Th from Alexandria. Energies are from GGA-PBE.

Computed properties:
Polymorph energy (0 for the lowest one), eV/f.u.: 0.000

Geometry as CIF:
```
data_Pr3Er2Th
_cell_length_a 22.157
_cell_length_b 3.644
_cell_length_c 11.800
_cell_angle_alpha 90.00
_cell_angle_beta 121.42
_cell_angle_gamma 90.00
_space_group_name_H-M_alt 'C 1 2/m 1'
_space_group_IT_number 12
loop_
_space_group_symop_operation_xyz
'x,y,z'
'-x,-y,-z'
'-x,y,-z'
'x,-y,z'
'x+1/2,y+1/2,z'
'-x+1/2,-y+1/2,-z'
'-x+1/2,y+1/2,-z'
'x+1/2,-y+1/2,z'
loop_
_atom_site_label
_atom_site_type_symbol
_atom_site_fract_x
_atom_site_fract_y
_atom_site_fract_z
Pr1 Pr 0.058 0.000 0.424
Pr2 Pr 0.113 0.500 0.740
Pr3 Pr 0.232 0.500 0.613
Er1 Er 0.056 0.000 0.933
Er2 Er 0.219 0.500 0.089
Th1 Th 0.108 0.500 0.224
```

=====

Here is an optimized crystal structure of PrEr8Th4 from Alexandria. Energies are from GGA-PBE.

Geometry as CIF:
```
data_PrEr8Th4
_cell_length_a 7.3519
_cell_length_b 7.3519
_cell_length_c 26.5462
_cell_angle_alpha 90.00
_cell_angle_beta 90.00
_cell_angle_gamma 120.00
_space_group_name_H-M_alt 'R -3 m'
_space_group_IT_number 166
_space_group_name_Hall '-R 3 2"'
loop_
_atom_site_label
_atom_site_type_symbol
_atom_site_fract_x
_atom_site_fract_y
_atom_site_fract_z
Pr1 Pr 0.0000 0.0000 0.0000
Er1 Er 0.0000 0.0000 0.2785
Er2 Er 0.0416 0.5208 0.2700
Th1 Th 0.0000 0.0000 0.5000
Th2 Th 0.0000 0.5000 0.5000
```

=====

Here is an optimized crystal structure of Pr2ErTh from Alexandria. Energies are from GGA-PBE.

Computed properties:
Polymorph energy (0 for the lowest one), eV/f.u.: 0.649

Geometry as CIF:
```
data_Pr2ErTh
_cell_length_a 8.153
_cell_length_b 8.153
_cell_length_c 8.153
_cell_angle_alpha 90.00
_cell_angle_beta 90.00
_cell_angle_gamma 90.00
_space_group_name_H-M_alt 'F m -3 m'
_space_group_IT_number 225
_space_group_name_Hall '-F 4 2 3'
loop_
_atom_site_label
_atom_site_type_symbol
_atom_site_fract_x
_atom_site_fract_y
_atom_site_fract_z
Pr1 Pr 0.250 0.250 0.250
Er1 Er 0.000 0.000 0.000
Th1 Th 0.000 0.000 0.500
```

=====

Here is an optimized crystal structure of PrEr2Th from Alexandria. Energies are from GGA-PBE.

Computed properties:
Polymorph energy (0 for the lowest one), eV/f.u.: 0.160

Geometry as CIF:
```
data_PrEr2Th
_cell_length_a 3.5819
_cell_length_b 3.5819
_cell_length_c 34.9632
_cell_angle_alpha 90.00
_cell_angle_beta 90.00
_cell_angle_gamma 120.00
_space_group_name_H-M_alt 'R 3 m'
_space_group_IT_number 160
_space_group_name_Hall 'R 3 -2"'
loop_
_atom_site_label
_atom_site_type_symbol
_atom_site_fract_x
_atom_site_fract_y
_atom_site_fract_z
Pr1 Pr 0.0000 0.0000 0.0000
Er1 Er 0.0000 0.0000 0.4174
Er2 Er 0.0000 0.0000 0.5826
Th1 Th 0.0000 0.0000 0.1663
```

=====

What Fermi-level density of states values result from the calculations? In sequence: 10.33; 16.34; 11.45; 6.09 states/eV/f.u..
What E_form values result from the calculations? In sequence: 0.30; 2.81; 0.85; 0.16 eV per formula unit.